Entry 1:
Density functional theory data (PBE-GGA) for CuSb2Br after structural relaxation.

Cell lengths 4.2387, 5.2208, 5.2140 Å; angles 62.77, 90.00, 90.00 degrees
Closest atoms and distances in Å follow each position.
Fractional positions:
1 Sb 0.0000 0.5752 0.5754  2 Cu 2.63
2 Sb 0.0000 0.9248 0.9246  2 Cu 2.63
3 Cu 0.5000 0.7500 0.7500  4 Sb 2.63, 2 Br 2.72
4 Br 0.5000 0.2500 0.2500  2 Cu 2.72

Fermi-level density of states: 0.4611 states/eV/atom
M_tot: 0.00 μB per cell
Space-group type: Cmmm (65)
Formation energy (no corrections): -12.0 meV per atom
Relative energy among the computed polymorphs: 1.31 kcal/mol of atoms

---

Entry 2:
Density functional theory data (PBE-GGA) for CoTc2Rh after structural relaxation.

Cell lengths 4.5863, 4.5863, 4.6920 Å; angles 81.23, 81.23, 33.66 degrees
Closest atoms and distances in Å follow each position.
Fractional positions:
1 Tc 0.2448 0.2448 0.2681  3 Co 2.57-2.64, 4 Rh 2.62-2.77, 5 Tc 2.65-2.74
2 Tc 0.0012 0.0012 0.9988  4 Co 2.65-2.75, 5 Tc 2.65-2.74, 3 Rh 2.66-2.67
3 Rh 0.7501 0.7501 0.7473  7 Tc 2.62-2.77, 3 Co 2.65-2.71, 2 Rh 2.66
4 Co 0.5039 0.5039 0.4858  7 Tc 2.57-2.75, 3 Rh 2.65-2.71, 2 Co 2.66

Fermi-level density of states: 1.1914 states/eV/atom
Formation energy from the elements: 0.04 eV per atom
M_tot: 0.01 μB per cell
Space-group type: Cm (8)
Relative energy among the computed polymorphs: 2.74 kcal/mol of atoms

---

Entry 3:
Density functional theory data (PBE-GGA) for Mg3Zn2Ag3Hg after structural relaxation.

Cell lengths 3.0462, 7.9180, 7.9180 Å; angles 120.00, 90.00, 90.00 degrees
Closest atoms and distances in Å follow each position.
Fractional positions:
1 Ag 0.0000 0.3794 0.0000  4 Zn 2.91, 6 Mg 2.92-3.15, 1 Hg 3.00, 2 Ag 3.05
2 Ag 0.0000 0.6206 0.6206  4 Zn 2.91, 6 Mg 2.92-3.15, 1 Hg 3.00, 2 Ag 3.05
3 Ag 0.0000 0.0000 0.3794  4 Zn 2.91, 6 Mg 2.92-3.15, 1 Hg 3.00, 2 Ag 3.05
4 Mg 0.5000 0.3058 0.3058  2 Zn 2.75, 2 Hg 2.86, 2 Ag 2.92, 2 Mg 3.05
5 Mg 0.5000 0.0000 0.6942  2 Zn 2.75, 2 Hg 2.86, 2 Ag 2.92, 2 Mg 3.05
6 Mg 0.5000 0.6942 0.0000  2 Zn 2.75, 2 Hg 2.86, 2 Ag 2.92, 2 Mg 3.05
7 Zn 0.5000 0.3333 0.6667  3 Mg 2.75, 6 Ag 2.91, 2 Zn 3.05
8 Zn 0.5000 0.6667 0.3333  3 Mg 2.75, 6 Ag 2.91, 2 Zn 3.05
9 Hg 0.0000 0.0000 0.0000  6 Mg 2.86, 3 Ag 3.00, 2 Hg 3.05

Fermi-level density of states: 0.3586 states/eV/atom
Formation energy from the elements: -0.10 eV per atom
M_tot: 0.00 μB per cell
Space-group type: P-62m (189)

---

Entry 4:
Density functional theory data (PBE-GGA) for VGa2Pt after structural relaxation.

Cell lengths 6.9910, 6.9910, 5.6395 Å; angles 51.70, 51.70, 90.00 degrees
Closest atoms and distances in Å follow each position.
Fractional positions:
1 Ga 0.3750 0.3622 0.7500  2 Pt 2.50, 2 V 2.62, 2 Ga 2.72
2 Ga 0.1122 0.6250 0.2500  2 Pt 2.50, 2 V 2.62, 2 Ga 2.72
3 Ga 0.6378 0.1250 0.2500  2 Pt 2.50, 2 V 2.62, 2 Ga 2.72
4 Ga 0.8750 0.8878 0.7500  2 Pt 2.50, 2 V 2.62, 2 Ga 2.72
5 V 0.2500 0.7500 0.5000  4 Ga 2.62, 2 Pt 2.71
6 V 0.5000 0.5000 0.0000  4 Ga 2.62, 2 Pt 2.71
7 Pt 0.7500 0.2500 0.5000  4 Ga 2.50, 2 V 2.71
8 Pt 0.0000 0.0000 0.0000  4 Ga 2.50, 2 V 2.71

Fermi-level density of states: 1.0381 states/eV/atom
Formation energy from the elements: -0.04 eV per atom
M_tot: 2.47 μB per cell
Space-group type: I-42d (122)

---

Entry 5:
Density functional theory data (PBE-GGA) for TlCrP2 after structural relaxation.

Cell lengths 7.0403, 7.0403, 3.6092 Å; angles 80.53, 80.53, 27.92 degrees
Closest atoms and distances in Å follow each position.
Fractional positions:
1 Tl 0.5524 0.5524 0.4299  6 P 3.21-3.38, 2 Tl 3.40, 2 Cr 3.55
2 P 0.7622 0.7622 0.7811  1 P 2.23, 2 Cr 2.48
3 P 0.9013 0.9013 0.0277  1 P 2.23, 2 Cr 2.39
4 Cr 0.2840 0.2840 0.2613  6 P 2.39-2.51

Fermi-level density of states: 0.4080 states/eV/atom
Formation energy from the elements: 0.11 eV per atom
M_tot: 2.68 μB per cell
Space-group type: Cm (8)
Relative energy among the computed polymorphs: 2.01 kcal/mol of atoms

---

Entry 6:
Density functional theory data (PBE-GGA) for RbUHgS4 after structural relaxation.

Cell lengths 7.4492, 9.0454, 8.0726 Å; angles 116.50, 90.00, 114.32 degrees
Closest atoms and distances in Å follow each position.
Fractional positions:
1 S 0.3139 0.6278 0.7788  1 U 2.69, 2 Hg 2.71
2 S 0.3139 0.6278 0.3490  1 U 2.69, 2 Hg 2.71
3 S 0.2781 0.9999 0.2499  2 U 2.61
4 S 0.6861 0.3722 0.6510  1 U 2.69, 2 Hg 2.71
5 S 0.7217 0.9999 0.2499  2 U 2.61
6 S 0.2783 0.0001 0.7501  2 U 2.61
7 S 0.7219 0.0001 0.7501  2 U 2.61
8 S 0.6861 0.3722 0.2212  1 U 2.69, 2 Hg 2.71
9 U 0.5000 0.0000 0.0000  6 S 2.61-2.69
10 U 0.5000 0.0000 0.5000  6 S 2.61-2.69
11 Hg 0.0000 0.5000 0.5000  4 S 2.71
12 Hg 0.5000 0.5000 0.5000  4 S 2.71
13 Rb 0.1640 0.3280 0.9140  4 S 3.14-3.15
14 Rb 0.8360 0.6720 0.0860  4 S 3.14-3.15

Fermi-level density of states: 0.6300 states/eV/atom
M_tot: 2.01 μB per cell
Space-group type: Imma (74)
Formation energy (no corrections): -877.4 meV per atom

---

Entry 7:
Density functional theory data (PBE-GGA) for LiZn9Ag2 after structural relaxation.

Cell lengths 5.0809, 5.0809, 9.0358 Å; angles 73.67, 73.67, 60.00 degrees
Closest atoms and distances in Å follow each position.
Fractional positions:
1 Zn 0.5866 0.5866 0.7452  7 Zn 2.52-2.64
2 Zn 0.9183 0.4134 0.2548  7 Zn 2.52-2.64
3 Zn 0.0817 0.5866 0.7452  7 Zn 2.52-2.64
4 Zn 0.6668 0.6668 0.9997  6 Zn 2.62-2.64
5 Zn 0.4134 0.4134 0.2548  7 Zn 2.52-2.64
6 Zn 0.5866 0.0817 0.7452  7 Zn 2.52-2.64
7 Zn 0.5000 0.5000 0.5000  6 Zn 2.57
8 Zn 0.3332 0.3332 0.0003  6 Zn 2.62-2.64
9 Zn 0.4134 0.9183 0.2548  7 Zn 2.52-2.64
10 Ag 0.8564 0.8564 0.4309  12 Zn 2.95-3.05, 3 Ag 3.16
11 Ag 0.1436 0.1436 0.5691  12 Zn 2.95-3.05, 3 Ag 3.16
12 Li 0.0000 0.0000 0.0000  6 Zn 2.93

Fermi-level density of states: 0.2845 states/eV/atom
Formation energy from the elements: -0.05 eV per atom
M_tot: 0.00 μB per cell
Space-group type: R-3m (166)

---

Entry 8:
Density functional theory data (PBE-GGA) for LaCu2Au8 after structural relaxation.

Cell lengths 5.5543, 5.5543, 8.3147 Å; angles 90.00, 90.00, 90.00 degrees
Closest atoms and distances in Å follow each position.
Fractional positions:
1 Au 0.7529 0.2471 0.7856  2 Cu 2.65, 4 Au 2.74-2.81
2 Au 0.7529 0.7529 0.7856  2 Cu 2.65, 4 Au 2.74-2.81
3 Au 0.2471 0.7529 0.2144  2 Cu 2.65, 4 Au 2.74-2.81
4 Au 0.2471 0.7529 0.7856  2 Cu 2.65, 4 Au 2.74-2.81
5 Au 0.7529 0.2471 0.2144  2 Cu 2.65, 4 Au 2.74-2.81
6 Au 0.7529 0.7529 0.2144  2 Cu 2.65, 4 Au 2.74-2.81
7 Au 0.2471 0.2471 0.2144  2 Cu 2.65, 4 Au 2.74-2.81
8 Au 0.2471 0.2471 0.7856  2 Cu 2.65, 4 Au 2.74-2.81
9 Cu 0.5000 0.0000 0.0000  8 Au 2.65
10 Cu 0.0000 0.5000 0.0000  8 Au 2.65
11 La 0.5000 0.5000 0.5000  8 Au 3.10

Fermi-level density of states: 0.3838 states/eV/atom
Formation energy from the elements: -0.06 eV per atom
M_tot: 0.00 μB per cell
Space-group type: P4/mmm (123)

---

Entry 9:
Density functional theory data (PBE-GGA) for ZnInIr after structural relaxation.

Cell lengths 2.9780, 2.9780, 6.8028 Å; angles 90.00, 90.00, 120.00 degrees
Closest atoms and distances in Å follow each position.
Fractional positions:
1 In 0.0000 0.0000 0.0149  3 Ir 2.84, 6 In 2.98, 3 Zn 3.09
2 Ir 0.3333 0.6667 0.3467  3 Zn 2.63, 3 In 2.84
3 Zn 0.6667 0.3333 0.6384  3 Ir 2.63

Fermi-level density of states: 0.6560 states/eV/atom
Formation energy from the elements: 0.13 eV per atom
M_tot: 0.00 μB per cell
Space-group type: P3m1 (156)

---

Entry 10:
Density functional theory data (PBE-GGA) for Re2HCl after structural relaxation.

Cell lengths 4.0655, 4.0655, 4.0655 Å; angles 60.00, 60.00, 60.00 degrees
Closest atoms and distances in Å follow each position.
Fractional positions:
1 Re 0.2500 0.2500 0.2500  4 Cl 2.49, 4 H 2.49
2 Re 0.7500 0.7500 0.7500  4 H 2.49, 4 Cl 2.49
3 H 0.0000 0.0000 0.0000  8 Re 2.49
4 Cl 0.5000 0.5000 0.5000  8 Re 2.49

Fermi-level density of states: 0.7801 states/eV/atom
M_tot: 0.00 μB per cell
Space-group type: Fm-3m (225)
Relative energy among the computed polymorphs: 17.79 kcal/mol of atoms

---

Entry 11:
Density functional theory data (PBE-GGA) for Ta2MoAs after structural relaxation.

Cell lengths 4.5578, 4.5578, 4.5578 Å; angles 60.00, 60.00, 60.00 degrees
Closest atoms and distances in Å follow each position.
Fractional positions:
1 Ta 0.0000 0.0000 0.0000  4 Mo 2.79, 4 Ta 2.79
2 Ta 0.2500 0.2500 0.2500  4 Ta 2.79, 4 As 2.79
3 As 0.5000 0.5000 0.5000  4 Ta 2.79, 4 Mo 2.79
4 Mo 0.7500 0.7500 0.7500  4 As 2.79, 4 Ta 2.79

Fermi-level density of states: 1.3126 states/eV/atom
Formation energy from the elements: 0.17 eV per atom
M_tot: 0.00 μB per cell
Space-group type: F-43m (216)

---

Entry 12:
Density functional theory data (PBE-GGA) for TaPH2Pb after structural relaxation.

Cell lengths 3.7048, 6.1919, 3.7048 Å; angles 90.00, 90.00, 90.00 degrees
Closest atoms and distances in Å follow each position.
Fractional positions:
1 H 0.0000 0.0000 0.5000  2 Pb 1.85
2 H 0.5000 0.0000 0.0000  2 Pb 1.85
3 P 0.0000 0.5000 0.0000  4 Ta 2.62
4 Ta 0.5000 0.5000 0.5000  4 P 2.62
5 Pb 0.0000 0.0000 0.0000  4 H 1.85

Fermi-level density of states: 0.6298 states/eV/atom
M_tot: 1.54 μB per cell
Total DFT energy (no corrections): -4.81 eV/atom
Space-group type: P4/mmm (123)